(1)
Below is a relaxed structure of Tb2PrTl9, with properties calculated at the GGA-PBE level.

Its formation energy is -27 kJ per mole of atoms. As for the density of states at the Fermi level: 3.84 states/eV per cell. For the raw total energy, the calculation gives -3.2214 eV/atom.

The structure belongs to space group P4/mmm (No. 123); the cell edges are 4.802, 4.802 and 14.398 Å and the angles 90.00°, 90.00° and 90.00°. Symmetry generates all atoms from Tb at (0.000, 0.000, 0.165), Pr at (0.000, 0.000, 0.500), Tl at (0.000, 0.500, 0.000), Tl at (0.000, 0.500, 0.330), Tl at (0.500, 0.500, 0.165) and Tl at (0.500, 0.500, 0.500).

---

(2)
Below is a relaxed structure of TbPr3Tl3, with properties calculated at the GGA-PBE level.

Its formation energy is -20 kJ per mole of atoms. As for the density of states at the Fermi level: 33.12 states/eV per cell. For the raw total energy, the calculation gives -3.9340 eV/atom.

The structure belongs to space group C2/m (No. 12); the cell edges are 8.451, 10.949 and 9.805 Å and the angles 90.00°, 91.57° and 90.00°. Symmetry generates all atoms from Tb at (0.223, 0.000, 0.456), Pr at (0.000, 0.259, 0.500), Pr at (0.000, 0.320, 0.000), Pr at (0.089, 0.000, 0.817), Tl at (0.033, 0.500, 0.270) and Tl at (0.234, 0.213, 0.237).

---

(3)
Below is a relaxed structure of Tb2PrTl, with properties calculated at the GGA-PBE level.

Its formation energy is 8 kJ per mole of atoms. As for the density of states at the Fermi level: 21.43 states/eV per cell. For the raw total energy, the calculation gives -4.0164 eV/atom.

The structure belongs to space group R-3m (No. 166, hexagonal axes); the cell edges are 3.5324, 3.5324 and 36.0266 Å and the angles 90.00°, 90.00° and 120.00°. Symmetry generates all atoms from Tb at (0.0000, 0.0000, 0.0958), Pr at (0.0000, 0.0000, 0.0000) and Tl at (0.0000, 0.0000, 0.5000).

---

(4)
Below is a relaxed structure of TbPrTl2, with properties calculated at the GGA-PBE level.

Its formation energy is -37 kJ per mole of atoms. As for the density of states at the Fermi level: 3.03 states/eV per cell. For the raw total energy, the calculation gives -3.9173 eV/atom.

The structure belongs to space group P4/mmm (No. 123); the cell edges are 3.866, 3.866 and 7.736 Å and the angles 90.00°, 90.00° and 90.00°. Symmetry generates all atoms from Tb at (0.000, 0.000, 0.000), Pr at (0.000, 0.000, 0.500) and Tl at (0.500, 0.500, 0.237).

---

(5)
Below is a relaxed structure of TbPr5Tl3, with properties calculated at the GGA-PBE level.

Its formation energy is -26 kJ per mole of atoms. As for the density of states at the Fermi level: 48.53 states/eV per cell. For the raw total energy, the calculation gives -4.2235 eV/atom.

The structure belongs to space group Cmcm (No. 63); the cell edges are 16.765, 9.685 and 6.967 Å and the angles 90.00°, 90.00° and 90.00°. Symmetry generates all atoms from Tb at (0.000, 0.000, 0.000), Pr at (0.000, 0.339, 0.250), Pr at (0.166, 0.500, 0.000), Pr at (0.170, 0.169, 0.750), Tl at (0.000, 0.324, 0.750) and Tl at (0.162, 0.162, 0.250).

---

(6)
Below is a relaxed structure of TbPr3Tl2, with properties calculated at the GGA-PBE level.

Its formation energy is -26 kJ per mole of atoms. As for the density of states at the Fermi level: 13.85 states/eV per cell. For the raw total energy, the calculation gives -4.2198 eV/atom.

The structure belongs to space group Pmc2_1 (No. 26); the cell edges are 5.280, 10.394 and 6.909 Å and the angles 90.00°, 90.00° and 90.00°. Symmetry generates all atoms from Tb at (0.000, 0.041, 0.000), Pr at (0.000, 0.312, 0.641), Pr at (0.500, 0.179, 0.271), Pr at (0.500, 0.460, 0.905), Tl at (0.000, 0.361, 0.162) and Tl at (0.500, 0.134, 0.752).

---

(7)
Below is a relaxed structure of Tb6Pr2Tm3Tl, with properties calculated at the GGA-PBE level.

Its formation energy is -3 kJ per mole of atoms. As for the density of states at the Fermi level: 30.92 states/eV per cell. For the raw total energy, the calculation gives -4.4560 eV/atom.

The structure belongs to space group C2/m (No. 12); the cell edges are 6.106, 10.583 and 11.757 Å and the angles 90.00°, 100.01° and 90.00°. Symmetry generates all atoms from Tb at (0.243, 0.000, 0.246), Tb at (0.248, 0.164, 0.753), Pr at (0.000, 0.334, 0.500), Tm at (0.000, 0.167, 0.000), Tm at (0.000, 0.500, 0.000) and Tl at (0.000, 0.000, 0.500).

---

(8)
Below is a relaxed structure of Tb3Pr6Tm2Tl, with properties calculated at the GGA-PBE level.

Its formation energy is 0 kJ per mole of atoms. As for the density of states at the Fermi level: 29.15 states/eV per cell. For the raw total energy, the calculation gives -4.4903 eV/atom.

The structure belongs to space group C2/m (No. 12); the cell edges are 6.249, 10.867 and 11.844 Å and the angles 90.00°, 100.37° and 90.00°. Symmetry generates all atoms from Tb at (0.000, 0.000, 0.000), Tb at (0.000, 0.332, 0.000), Pr at (0.246, 0.336, 0.746), Pr at (0.247, 0.500, 0.252), Tm at (0.000, 0.166, 0.500) and Tl at (0.000, 0.500, 0.500).

---

(9)
Below is a relaxed structure of TbPrTmTl, with properties calculated at the GGA-PBE level.

Its formation energy is -6 kJ per mole of atoms. As for the density of states at the Fermi level: 23.01 states/eV per cell. For the raw total energy, the calculation gives -4.1203 eV/atom.

The structure belongs to space group F-43m (No. 216); the cell edges are 7.823, 7.823 and 7.823 Å and the angles 90.00°, 90.00° and 90.00°. Symmetry generates all atoms from Tb at (0.000, 0.000, 0.000), Pr at (0.000, 0.000, 0.500), Tm at (0.250, 0.250, 0.750) and Tl at (0.250, 0.250, 0.250).

---

(10)
Below is a relaxed structure of TbPrTm2Tl4, with properties calculated at the GGA-PBE level.

Its formation energy is -32 kJ per mole of atoms. As for the density of states at the Fermi level: 19.21 states/eV per cell. For the raw total energy, the calculation gives -3.8051 eV/atom.

The structure belongs to space group R-3m (No. 166, hexagonal axes); the cell edges are 5.3904, 5.3904 and 26.5159 Å and the angles 90.00°, 90.00° and 120.00°. Symmetry generates all atoms from Tb at (0.0000, 0.0000, 0.0000), Pr at (0.0000, 0.0000, 0.5000), Tm at (0.0000, 0.0000, 0.2504), Tl at (0.0000, 0.0000, 0.1232) and Tl at (0.0000, 0.0000, 0.3734).

---

(11)
Below is a relaxed structure of TbPrTmTl, with properties calculated at the GGA-PBE level.

Its formation energy is -17 kJ per mole of atoms. As for the density of states at the Fermi level: 5.62 states/eV per cell. For the raw total energy, the calculation gives -4.2420 eV/atom.

The structure belongs to space group Pmmm (No. 47); the cell edges are 4.839, 4.897 and 4.967 Å and the angles 90.00°, 90.00° and 90.00°. Symmetry generates all atoms from Tb at (0.000, 0.000, 0.000), Pr at (0.500, 0.500, 0.000), Tm at (0.000, 0.500, 0.500) and Tl at (0.500, 0.000, 0.500).

---

(12)
Below is a relaxed structure of Tb2Pr6Tm3Tl, with properties calculated at the GGA-PBE level.

Its formation energy is -1 kJ per mole of atoms. As for the density of states at the Fermi level: 26.38 states/eV per cell. For the raw total energy, the calculation gives -4.4856 eV/atom.

The structure belongs to space group C2/m (No. 12); the cell edges are 6.222, 10.805 and 11.852 Å and the angles 90.00°, 100.19° and 90.00°. Symmetry generates all atoms from Tb at (0.000, 0.166, 0.000), Pr at (0.244, 0.500, 0.748), Pr at (0.248, 0.336, 0.251), Tm at (0.000, 0.000, 0.500), Tm at (0.000, 0.333, 0.500) and Tl at (0.000, 0.500, 0.000).